(1)
{"formula": "Pr2Nd2DyY", "functional": "PBE-GGA", "state": "optimized geometry", "lattice_angstrom": [[7.146, 0.000, 0.000], [0.000, 5.763, 0.000], [0.000, 0.000, 9.985]], "species": ["Pr", "Pr", "Pr", "Pr", "Nd", "Nd", "Nd", "Nd", "Dy", "Dy", "Y", "Y"], "fractional_positions": [[0.000, 0.000, 0.000], [0.250, 0.500, 0.176], [0.500, 0.000, 0.000], [0.750, 0.500, 0.824], [0.250, 0.000, 0.331], [0.250, 0.500, 0.837], [0.750, 0.000, 0.669], [0.750, 0.500, 0.163], [0.250, 0.000, 0.659], [0.750, 0.000, 0.341], [0.000, 0.500, 0.500], [0.500, 0.500, 0.500]], "total_energy_ev_per_cell": -59.7, "ef_ev_per_fu": 0.32}


(2)
{"formula": "AcSb4F", "functional": "PBE-GGA", "state": "optimized geometry", "lattice_angstrom": [[0.000, 4.419, 4.419], [4.419, 0.000, 4.419], [4.419, 4.419, 0.000]], "species": ["Ac", "Sb", "Sb", "Sb", "Sb", "F"], "fractional_positions": [[0.000, 0.000, 0.000], [0.132, 0.623, 0.623], [0.623, 0.132, 0.623], [0.623, 0.623, 0.132], [0.623, 0.623, 0.623], [0.250, 0.250, 0.250]], "total_energy_ev_per_cell": -26.0, "raw_formation_energy_ev_per_atom": -0.593}


(3)
{"formula": "Fe2HAu", "functional": "PBE-GGA", "state": "optimized geometry", "lattice_angstrom": [[1.348, 0.778, 7.512], [-1.348, 0.778, 7.512], [0.000, -1.557, 7.512]], "species": ["Fe", "Fe", "H", "Au"], "fractional_positions": [[0.118, 0.118, 0.118], [0.882, 0.882, 0.882], [0.500, 0.500, 0.500], [0.000, 0.000, 0.000]], "total_energy_ev_per_cell": -22.3}


Calculated N(E_F), 18.17; 8.05; 3.66 states/eV/cell (same order as the records).